{
  "formula": "Ho4InGe4Os2",
  "functional": "PBE",
  "state": "optimized geometry",
  "total_energy_ev_per_fu": -69.40,
  "m_tot_mub_per_fu": 0.0,
  "crystal_system": "monoclinic",
  "lattice_angstrom": [[7.8556, -2.1436, 0.0000], [7.8556, 2.1436, 0.0000], [-2.0232, 0.0000, 6.6981]],
  "species": ["Ho", "Ho", "Ho", "Ho", "In", "Ge", "Ge", "Ge", "Ge", "Os", "Os"],
  "fractional_positions": [[0.0889, 0.0889, 0.3902], [0.1528, 0.1528, 0.9329], [0.8472, 0.8472, 0.0671], [0.9111, 0.9111, 0.6098], [0.5000, 0.5000, 0.0000], [0.2987, 0.2987, 0.7403], [0.4353, 0.4353, 0.3405], [0.5647, 0.5647, 0.6595], [0.7013, 0.7013, 0.2597], [0.2802, 0.2802, 0.3671], [0.7198, 0.7198, 0.6329]]
}